[1]
The following is a DFT calculation (GGA-PBE) of crystalline PuScFeCo at its relaxed geometry.

Cell lengths 4.5448, 4.5448, 4.5448 Å; angles 60.00, 60.00, 60.00 degrees
Last column: nearest neighbours and their distance in Å.
Fractional coordinates of all 4 atoms:
1 Fe 0.7500 0.7500 0.7500  4 Sc 2.78, 4 Pu 2.78
2 Co 0.2500 0.2500 0.2500  4 Sc 2.78, 4 Pu 2.78
3 Pu 0.5000 0.5000 0.5000  4 Co 2.78, 4 Fe 2.78
4 Sc 0.0000 0.0000 0.0000  4 Fe 2.78, 4 Co 2.78

Calculated values
E_form = -0.08 eV/atom
total DFT energy (no corrections) = -36.57 eV per formula unit
spin magnetization = 3.3 μB/f.u.
mass density = 10.1 g cm⁻³

***

[2]
The following is a DFT calculation (GGA-PBE) of crystalline TbPuFeCo at its relaxed geometry.

Cell lengths 4.7210, 4.7210, 4.7210 Å; angles 60.00, 60.00, 60.00 degrees
Last column: nearest neighbours and their distance in Å.
Fractional coordinates of all 4 atoms:
1 Fe 0.2500 0.2500 0.2500  4 Pu 2.89, 4 Tb 2.89
2 Co 0.7500 0.7500 0.7500  4 Tb 2.89, 4 Pu 2.89
3 Tb 0.0000 0.0000 0.0000  4 Co 2.89, 4 Fe 2.89
4 Pu 0.5000 0.5000 0.5000  4 Fe 2.89, 4 Co 2.89

Calculated values
E_form = 0.04 eV/atom
total DFT energy (no corrections) = -34.36 eV per formula unit
spin magnetization = 3.0 μB/f.u.
mass density = 11.6 g cm⁻³